No. 1
First-principles (GGA-PBE) data for crystalline Zn2C at its relaxed geometry, as listed in Alexandria via LeMat-Bulk.

```
Zn2C
1.0
3.659 0.000 0.000
0.000 3.659 0.000
0.000 0.000 5.401
Zn C
4 2
direct
0.250 0.250 0.107
0.250 0.750 0.500
0.750 0.250 0.500
0.750 0.750 0.893
0.250 0.250 0.735
0.750 0.750 0.265
```

Computed properties:
SG: P4/nmm (129)
Density in g/cm3: 6.56
Formation energy in eV per atom: 0.933



No. 2
First-principles (GGA-PBE) data for crystalline ZnC at its relaxed geometry, as listed in Alexandria via LeMat-Bulk.

```
ZnC
1.0
2.521 0.000 0.000
0.000 2.521 0.000
0.000 0.000 6.542
Zn C
2 2
direct
0.250 0.250 0.153
0.750 0.750 0.847
0.250 0.250 0.470
0.750 0.750 0.530
```

Computed properties:
SG: P4/nmm (129)
Density in g/cm3: 6.18
Formation energy in eV per atom: 1.483



No. 3
First-principles (GGA-PBE) data for crystalline Zn2C at its relaxed geometry, as listed in Alexandria via LeMat-Bulk.

```
Zn2C
1.0
3.239 0.000 0.000
0.000 3.239 0.000
0.000 0.000 3.823
Zn C
2 1
direct
0.000 0.000 0.000
0.500 0.500 0.500
0.000 0.000 0.500
```

Computed properties:
SG: P4/mmm (123)
Density in g/cm3: 5.91
Formation energy in eV per atom: 0.889



No. 4
First-principles (GGA-PBE) data for crystalline ZnC at its relaxed geometry, as listed in Alexandria via LeMat-Bulk.

```
ZnC
1.0
2.498 0.000 0.000
-1.249 2.163 0.000
0.000 0.000 23.241
Zn C
4 4
direct
0.333 0.667 0.058
0.333 0.667 0.442
0.667 0.333 0.558
0.667 0.333 0.942
0.000 0.000 0.250
0.000 0.000 0.750
0.333 0.667 0.750
0.667 0.333 0.250
```

Computed properties:
SG: P6_3/mmc (194)
Density in g/cm3: 4.09
Formation energy in eV per atom: 0.082



No. 5
First-principles (GGA-PBE) data for crystalline ZnC at its relaxed geometry, as listed in Alexandria via LeMat-Bulk.

```
ZnC
1.0
3.633 0.000 0.000
0.000 9.705 0.000
0.000 0.000 4.466
Zn C
6 6
direct
0.250 0.022 0.244
0.250 0.478 0.244
0.250 0.750 0.209
0.750 0.250 0.791
0.750 0.522 0.756
0.750 0.978 0.756
0.250 0.617 0.794
0.250 0.750 0.671
0.250 0.883 0.794
0.750 0.117 0.206
0.750 0.250 0.329
0.750 0.383 0.206
```

Computed properties:
SG: Pmmn (59)
Density in g/cm3: 4.90
Formation energy in eV per atom: 0.857



No. 6
First-principles (GGA-PBE) data for crystalline Zn2C at its relaxed geometry, as listed in Alexandria via LeMat-Bulk.

```
Zn2C
1.0
3.425 0.000 0.000
-1.712 2.966 0.000
0.000 0.000 8.617
Zn C
4 2
direct
0.333 0.667 0.098
0.333 0.667 0.402
0.667 0.333 0.598
0.667 0.333 0.902
0.000 0.000 0.000
0.000 0.000 0.500
```

Computed properties:
SG: P6_3/mmc (194)
Density in g/cm3: 5.42
Formation energy in eV per atom: 0.971



No. 7
First-principles (GGA-PBE) data for crystalline ZnC at its relaxed geometry, as listed in Alexandria via LeMat-Bulk.

```
ZnC
1.0
4.084 -1.586 0.000
4.084 1.586 0.000
-0.387 0.000 4.452
Zn C
2 2
direct
0.218 0.218 0.261
0.782 0.782 0.739
0.421 0.421 0.980
0.579 0.579 0.020
```

Computed properties:
SG: C2/m (12)
Density in g/cm3: 4.46
Formation energy in eV per atom: 0.828



No. 8
First-principles (GGA-PBE) data for crystalline Zn2C at its relaxed geometry, as listed in Alexandria via LeMat-Bulk.

```
Zn2C
1.0
5.309 -1.331 0.000
5.309 1.331 0.000
-4.743 0.000 5.801
Zn C
4 2
direct
0.111 0.111 0.321
0.226 0.226 0.806
0.774 0.774 0.194
0.889 0.889 0.679
0.420 0.420 0.167
0.580 0.580 0.833
```

Computed properties:
SG: C2/m (12)
Density in g/cm3: 5.79
Formation energy in eV per atom: 1.049



No. 9
First-principles (GGA-PBE) data for crystalline ZnC at its relaxed geometry, as listed in Alexandria via LeMat-Bulk.

```
ZnC
1.0
2.936 -3.455 0.000
2.936 3.455 0.000
0.000 0.000 2.551
Zn C
2 2
direct
0.157 0.843 0.750
0.843 0.157 0.250
0.454 0.546 0.750
0.546 0.454 0.250
```

Computed properties:
SG: Cmcm (63)
Density in g/cm3: 4.97
Formation energy in eV per atom: 0.611



No. 10
First-principles (GGA-PBE) data for crystalline Zn2C at its relaxed geometry, as listed in Alexandria via LeMat-Bulk.

```
Zn2C
1.0
3.432 0.000 0.000
-1.716 2.972 0.000
0.000 0.000 14.406
Zn C
6 3
direct
0.000 0.000 0.115
0.000 0.000 0.885
0.333 0.667 0.559
0.333 0.667 0.730
0.667 0.333 0.270
0.667 0.333 0.441
0.000 0.000 0.500
0.333 0.667 0.867
0.667 0.333 0.133
```

Computed properties:
SG: P-3m1 (164)
Density in g/cm3: 4.84
Formation energy in eV per atom: 1.035



No. 11
First-principles (GGA-PBE) data for crystalline Zn2C at its relaxed geometry, as listed in Alexandria via LeMat-Bulk.

```
Zn2C
1.0
7.181 0.000 0.000
-3.590 6.219 0.000
0.000 0.000 5.492
Zn C
8 4
direct
0.000 0.000 0.000
0.000 0.000 0.500
0.165 0.331 0.250
0.165 0.835 0.250
0.331 0.165 0.750
0.669 0.835 0.250
0.835 0.165 0.750
0.835 0.669 0.750
0.333 0.667 0.132
0.333 0.667 0.368
0.667 0.333 0.632
0.667 0.333 0.868
```

Computed properties:
SG: P6_3/mmc (194)
Density in g/cm3: 3.87
Formation energy in eV per atom: 0.881



No. 12
First-principles (GGA-PBE) data for crystalline Zn3C4 at its relaxed geometry, as listed in Alexandria via LeMat-Bulk.

```
Zn3C4
1.0
4.308 0.000 0.000
0.000 4.308 0.000
0.000 0.000 4.308
Zn C
3 4
direct
0.000 0.000 0.500
0.000 0.500 0.000
0.500 0.000 0.000
0.000 0.000 0.000
0.000 0.500 0.500
0.500 0.000 0.500
0.500 0.500 0.000
```

Computed properties:
SG: Pm-3m (221)
Density in g/cm3: 5.07
Formation energy in eV per atom: 2.277